Entry from Alexandria: a relaxed AsIr2Se crystal (PBE).

Results
**Crystal system**: monoclinic
**E_form (uncorrected)**: 0.037 eV/atom

Unit cell a=3.5610 b=2.7929 c=7.7670 alpha=80.25 beta=90.00 gamma=90.00
Closest atoms and distances in Å follow each position.
Atoms (fractional coordinates):
Ir  0.0000  0.0560  0.0051  4 As 2.59-2.60, 6 Ir 2.79-2.81
Ir  0.5000  0.4549  0.2215  2 Se 2.41
Se  0.0000  0.3541  0.4340  2 Ir 2.41
As  0.5000  0.6350  0.8394  4 Ir 2.59-2.60, 2 As 2.79

---

Entry from Alexandria: a relaxed NaAu4 crystal (PBE).

Results
**Crystal system**: orthorhombic
**Formation energy**: -100.3 meV/atom

Unit cell a=5.3729 b=5.3729 c=5.1519 alpha=73.49 beta=73.56 gamma=117.14
Closest atoms and distances in Å follow each position.
Atoms (fractional coordinates):
Au  0.7500  0.2500  0.5000  6 Au 2.79-2.80
Au  0.3364  0.3365  0.3272  5 Au 2.79-2.83, 1 Na 2.91
Au  0.6636  0.6635  0.6728  5 Au 2.79-2.83, 1 Na 2.91
Au  0.2500  0.7500  0.5000  6 Au 2.79-2.80
Na  0.0000  0.0000  0.0000  6 Au 2.91-3.14

---

One value per record, in order, for energy above the most stable polymorph in this dataset: 0.00; 0.00 eV/f.u..